DFT (GGA-PBEsol) results for InMo after structural relaxation.

POSCAR file:
```
InMo
1.0
3.229 0.000 0.000
0.000 3.229 0.000
0.000 0.000 7.104
In Mo
2 2
direct
0.250 0.250 0.159
0.750 0.750 0.841
0.250 0.250 0.594
0.750 0.750 0.406
```

Computed properties:
calculated total energy: -7.161 eV/atom
calculated volume: 74.1 Å³ per cell